No. 1
This record from Alexandria via LeMat-Bulk describes a relaxed Si3Os crystal. The functional is PBE.

```
Si3Os
1.0
-1.481 3.771 2.633
1.481 -3.771 2.633
1.481 3.771 -2.633
Si Os
3 1
Direct
0.000 0.000 0.000 Si
0.460 0.652 0.808 Si
0.845 0.652 0.192 Si
0.361 0.861 0.500 Os
```

- DOS(E_F): 0.2029 states/eV per atom
- Final energy: -27.75 eV/f.u.
- Spin magnetization: 0.00 μB per cell
- E_form (uncorrected): -0.063 eV per atom



No. 2
This record from Alexandria via LeMat-Bulk describes a relaxed Si3Os crystal. The functional is PBE.

```
Si3Os
1.0
1.504 0.868 7.256
-1.504 0.868 7.256
0.000 -1.737 7.256
Si Os
3 1
Direct
0.000 0.000 0.000 Si
0.248 0.248 0.248 Si
0.752 0.752 0.752 Si
0.500 0.500 0.500 Os
```

- DOS(E_F): 0.4893 states/eV per atom
- Final energy: -27.08 eV/f.u.
- Spin magnetization: 0.00 μB per cell
- E_form (uncorrected): 0.105 eV per atom



No. 3
This record from Alexandria via LeMat-Bulk describes a relaxed SiOs3 crystal. The functional is PBE.

```
SiOs3
1.0
-1.925 1.925 7.571
1.925 -1.925 7.571
1.925 1.925 -7.571
Si Os
2 6
Direct
0.115 0.115 0.000 Si
0.885 0.885 0.000 Si
0.000 0.500 0.500 Os
0.250 0.750 0.500 Os
0.371 0.371 0.000 Os
0.500 0.000 0.500 Os
0.629 0.629 0.000 Os
0.750 0.250 0.500 Os
```

- DOS(E_F): 1.1608 states/eV per atom
- Final energy: -38.09 eV/f.u.
- Spin magnetization: 0.00 μB per cell
- E_form (uncorrected): 0.255 eV per atom



No. 4
This record from Alexandria via LeMat-Bulk describes a relaxed SiOs3 crystal. The functional is PBE.

```
SiOs3
1.0
-1.425 2.171 4.460
1.425 -2.171 4.460
1.425 2.171 -4.460
Si Os
1 3
Direct
0.000 0.000 0.000 Si
0.218 0.718 0.500 Os
0.500 0.500 0.000 Os
0.782 0.282 0.500 Os
```

- DOS(E_F): 0.5896 states/eV per atom
- Final energy: -39.10 eV/f.u.
- Spin magnetization: 0.00 μB per cell
- E_form (uncorrected): 0.003 eV per atom



No. 5
This record from Alexandria via LeMat-Bulk describes a relaxed SiOs3 crystal. The functional is PBE.

```
SiOs3
1.0
2.736 -3.709 0.000
2.736 3.709 0.000
0.000 0.000 2.753
Si Os
1 3
Direct
0.000 0.000 0.000 Si
0.000 0.500 0.500 Os
0.500 0.000 0.500 Os
0.500 0.500 0.000 Os
```

- DOS(E_F): 1.1119 states/eV per atom
- Final energy: -38.27 eV/f.u.
- Spin magnetization: 0.00 μB per cell
- E_form (uncorrected): 0.210 eV per atom



No. 6
This record from Alexandria via LeMat-Bulk describes a relaxed SiOs5 crystal. The functional is PBE.

```
SiOs5
1.0
4.962 0.000 0.000
-2.481 4.297 0.000
0.000 0.000 4.652
Si Os
1 5
Direct
0.000 0.000 0.000 Si
0.000 0.500 0.500 Os
0.333 0.667 0.000 Os
0.500 0.000 0.500 Os
0.500 0.500 0.500 Os
0.667 0.333 0.000 Os
```

- DOS(E_F): 1.3151 states/eV per atom
- Final energy: -55.49 eV/f.u.
- Spin magnetization: 0.00 μB per cell
- E_form (uncorrected): 1.013 eV per atom
- Energy relative to the lowest polymorph listed for this composition: 0.9715 eV/atom



No. 7
This record from Alexandria via LeMat-Bulk describes a relaxed SiOs3 crystal. The functional is PBE.

```
SiOs3
1.0
1.384 0.799 8.368
-1.384 0.799 8.368
0.000 -1.598 8.368
Si Os
1 3
Direct
0.000 0.000 0.000 Si
0.255 0.255 0.255 Os
0.500 0.500 0.500 Os
0.745 0.745 0.745 Os
```

- DOS(E_F): 1.1367 states/eV per atom
- Final energy: -38.94 eV/f.u.
- Spin magnetization: 0.00 μB per cell
- E_form (uncorrected): 0.042 eV per atom



No. 8
This record from Alexandria via LeMat-Bulk describes a relaxed Si3Os crystal. The functional is PBE.

```
Si3Os
1.0
2.885 0.000 0.000
0.000 3.643 0.000
0.000 0.000 5.127
Si Os
3 1
Direct
0.000 0.000 0.000 Si
0.500 0.500 0.249 Si
0.500 0.500 0.751 Si
0.000 0.000 0.500 Os
```

- DOS(E_F): 0.5231 states/eV per atom
- Final energy: -26.53 eV/f.u.
- Spin magnetization: 0.00 μB per cell
- E_form (uncorrected): 0.243 eV per atom



No. 9
This record from Alexandria via LeMat-Bulk describes a relaxed Si3Os crystal. The functional is PBE.

```
Si3Os
1.0
2.879 0.000 0.000
0.000 2.879 0.000
0.000 0.000 6.890
Si Os
3 1
Direct
0.000 0.000 0.000 Si
0.500 0.500 0.279 Si
0.500 0.500 0.721 Si
0.000 0.000 0.500 Os
```

- DOS(E_F): 0.3122 states/eV per atom
- Final energy: -27.00 eV/f.u.
- Spin magnetization: 0.00 μB per cell
- E_form (uncorrected): 0.124 eV per atom



No. 10
This record from Alexandria via LeMat-Bulk describes a relaxed SiOs crystal. The functional is PBE.

```
SiOs
1.0
2.934 0.000 0.000
-1.467 2.541 0.000
0.000 0.000 3.677
Si Os
1 1
Direct
0.000 0.000 0.000 Si
0.667 0.333 0.500 Os
```

- DOS(E_F): 0.4767 states/eV per atom
- Final energy: -17.02 eV/f.u.
- Spin magnetization: 0.00 μB per cell
- E_form (uncorrected): -0.184 eV per atom



No. 11
This record from Alexandria via LeMat-Bulk describes a relaxed Si3Os crystal. The functional is PBE.

```
Si3Os
1.0
4.146 -1.489 0.000
4.146 1.489 0.000
-0.439 0.000 4.352
Si Os
3 1
Direct
0.000 0.000 0.000 Si
0.238 0.238 0.748 Si
0.762 0.762 0.252 Si
0.500 0.500 0.500 Os
```

- DOS(E_F): 0.2512 states/eV per atom
- Final energy: -27.27 eV/f.u.
- Spin magnetization: 0.00 μB per cell
- E_form (uncorrected): 0.057 eV per atom



No. 12
This record from Alexandria via LeMat-Bulk describes a relaxed Si3Os crystal. The functional is PBE.

```
Si3Os
1.0
4.780 0.000 0.000
0.000 4.780 0.000
0.000 0.000 4.780
Si Os
6 2
Direct
0.000 0.250 0.500 Si
0.000 0.750 0.500 Si
0.250 0.500 0.000 Si
0.500 0.000 0.250 Si
0.500 0.000 0.750 Si
0.750 0.500 0.000 Si
0.000 0.000 0.000 Os
0.500 0.500 0.500 Os
```

- DOS(E_F): 0.7605 states/eV per atom
- Final energy: -26.53 eV/f.u.
- Spin magnetization: 0.00 μB per cell
- E_form (uncorrected): 0.242 eV per atom



No. 13
This record from Alexandria via LeMat-Bulk describes a relaxed SiOs5 crystal. The functional is PBE.

```
SiOs5
1.0
4.731 0.000 0.000
-2.366 4.098 0.000
0.000 0.000 4.357
Si Os
1 5
Direct
0.000 0.000 0.000 Si
0.000 0.667 0.500 Os
0.333 0.333 0.500 Os
0.333 0.667 0.000 Os
0.667 0.000 0.500 Os
0.667 0.333 0.000 Os
```

- DOS(E_F): 0.6681 states/eV per atom
- Final energy: -60.65 eV/f.u.
- Spin magnetization: 0.00 μB per cell
- E_form (uncorrected): 0.154 eV per atom
- Energy relative to the lowest polymorph listed for this composition: 0.1125 eV/atom



No. 14
This record from Alexandria via LeMat-Bulk describes a relaxed SiOs2 crystal. The functional is PBE.

```
SiOs2
1.0
0.000 3.637 3.637
3.637 0.000 3.637
3.637 3.637 0.000
Si Os
2 4
Direct
0.125 0.125 0.125 Si
0.875 0.875 0.875 Si
0.000 0.500 0.500 Os
0.500 0.000 0.500 Os
0.500 0.500 0.000 Os
0.500 0.500 0.500 Os
```

- DOS(E_F): 1.2686 states/eV per atom
- Final energy: -24.91 eV/f.u.
- Spin magnetization: 0.00 μB per cell
- E_form (uncorrected): 0.991 eV per atom



No. 15
This record from Alexandria via LeMat-Bulk describes a relaxed Si3Os crystal. The functional is PBE.

```
Si3Os
1.0
2.519 -3.582 0.000
2.519 3.582 0.000
0.000 0.000 2.938
Si Os
3 1
Direct
0.000 0.000 0.000 Si
0.000 0.500 0.500 Si
0.500 0.000 0.500 Si
0.500 0.500 0.000 Os
```

- DOS(E_F): 0.4198 states/eV per atom
- Final energy: -26.85 eV/f.u.
- Spin magnetization: 0.00 μB per cell
- E_form (uncorrected): 0.162 eV per atom



No. 16
This record from Alexandria via LeMat-Bulk describes a relaxed SiOs2 crystal. The functional is PBE.

```
SiOs2
1.0
-1.403 1.934 3.831
1.403 -1.934 3.831
1.403 1.934 -3.831
Si Os
1 2
Direct
0.000 0.000 0.000 Si
0.328 0.328 0.000 Os
0.672 0.672 0.000 Os
```

- DOS(E_F): 0.4732 states/eV per atom
- Final energy: -27.49 eV/f.u.
- Spin magnetization: 0.00 μB per cell
- E_form (uncorrected): 0.130 eV per atom



No. 17
This record from Alexandria via LeMat-Bulk describes a relaxed Si5Os crystal. The functional is PBE.

```
Si5Os
1.0
4.513 0.000 0.000
-2.256 3.908 0.000
0.000 0.000 4.672
Si Os
5 1
Direct
0.000 0.675 0.000 Si
0.325 0.325 0.000 Si
0.333 0.667 0.500 Si
0.667 0.333 0.500 Si
0.675 0.000 0.000 Si
0.000 0.000 0.500 Os
```

- DOS(E_F): 0.6212 states/eV per atom
- Final energy: -36.30 eV/f.u.
- Spin magnetization: 0.00 μB per cell
- E_form (uncorrected): 0.340 eV per atom
- Energy relative to the lowest polymorph listed for this composition: 0.1919 eV/atom



No. 18
This record from Alexandria via LeMat-Bulk describes a relaxed SiOs2 crystal. The functional is PBE.

```
SiOs2
1.0
6.508 -1.427 0.000
6.508 1.427 0.000
-0.002 0.000 4.467
Si Os
2 4
Direct
0.000 0.000 0.000 Si
0.665 0.665 0.827 Si
0.167 0.167 0.287 Os
0.312 0.312 0.810 Os
0.508 0.508 0.547 Os
0.850 0.850 0.309 Os
```

- DOS(E_F): 0.5822 states/eV per atom
- Final energy: -28.31 eV/f.u.
- Spin magnetization: 0.00 μB per cell
- E_form (uncorrected): -0.143 eV per atom



No. 19
This record from Alexandria via LeMat-Bulk describes a relaxed SiOs3 crystal. The functional is PBE.

```
SiOs3
1.0
0.000 3.046 3.046
3.046 0.000 3.046
3.046 3.046 0.000
Si Os
1 3
Direct
0.000 0.000 0.000 Si
0.250 0.250 0.250 Os
0.500 0.500 0.500 Os
0.750 0.750 0.750 Os
```

- DOS(E_F): 1.2722 states/eV per atom
- Final energy: -37.28 eV/f.u.
- Spin magnetization: 0.44 μB per cell
- E_form (uncorrected): 0.458 eV per atom



No. 20
This record from Alexandria via LeMat-Bulk describes a relaxed SiOs3 crystal. The functional is PBE.

```
SiOs3
1.0
2.774 0.000 0.000
0.000 3.987 0.000
-1.192 0.000 5.046
Si Os
1 3
Direct
0.000 0.000 0.000 Si
0.000 0.000 0.500 Os
0.370 0.500 0.237 Os
0.630 0.500 0.763 Os
```

- DOS(E_F): 0.4519 states/eV per atom
- Final energy: -38.96 eV/f.u.
- Spin magnetization: 0.00 μB per cell
- E_form (uncorrected): 0.039 eV per atom